(1)
Compound: AcAlCdIn
Source: Alexandria via LeMat-Bulk
Functional: PBE
Structure: relaxed

Cell and atoms, written as CIF:
```
data_AcAlCdIn
_chemical_formula_sum 'Ac4 Al4 Cd4 In4'
_symmetry_space_group_name_H-M 'F -4 3 m'
_symmetry_Int_Tables_number 216
_symmetry_space_group_name_Hall 'F -4 2 3'
_cell_length_a 7.5877
_cell_length_b 7.5877
_cell_length_c 7.5877
_cell_angle_alpha 90.00
_cell_angle_beta 90.00
_cell_angle_gamma 90.00
loop_
_atom_site_label
_atom_site_type_symbol
_atom_site_fract_x
_atom_site_fract_y
_atom_site_fract_z
Ac1 Ac 0.0000 0.0000 0.0000
Al1 Al 0.2500 0.2500 0.2500
Cd1 Cd 0.2500 0.2500 0.7500
In1 In 0.0000 0.0000 0.5000
```

Summary:
Energy of formation from the pure elements, meV per atom: -131
Mass density, g/cm³: 7.32

---

(2)
Compound: Sm6ErTl
Source: Alexandria via LeMat-Bulk
Functional: PBE
Structure: relaxed

Cell and atoms, written as CIF:
```
data_Sm6ErTl
_chemical_formula_sum 'Sm6 Er1 Tl1'
_symmetry_space_group_name_H-M 'P 4/m m m'
_symmetry_Int_Tables_number 123
_symmetry_space_group_name_Hall '-P 4 2'
_cell_length_a 4.9712
_cell_length_b 4.9712
_cell_length_c 10.2291
_cell_angle_alpha 90.00
_cell_angle_beta 90.00
_cell_angle_gamma 90.00
loop_
_atom_site_label
_atom_site_type_symbol
_atom_site_fract_x
_atom_site_fract_y
_atom_site_fract_z
Sm1 Sm 0.0000 0.0000 0.0000
Sm2 Sm 0.0000 0.0000 0.5000
Sm3 Sm 0.0000 0.5000 0.2452
Er1 Er 0.5000 0.5000 0.5000
Tl1 Tl 0.5000 0.5000 0.0000
```

Summary:
Energy of formation from the pure elements, meV per atom: -82
Mass density, g/cm³: 8.37